(1)
La2HoPb: relaxed, PBE.

Space-group type = Fm-3m
Formation energy = -0.177 eV/atom
Total magnetization = 0.00 μB/f.u.
E = -18.9 eV for the cell shown
Volume = 32.5 Å³ per atom

The structure in POSCAR format:
```
La2HoPb
1.0
5.6872 0.0000 0.0000
2.8436 4.9253 0.0000
2.8436 1.6418 4.6436
Pb Ho La
1 1 2
Cartesian
0.0000 0.0000 0.0000
5.6872 3.2835 2.3218
2.8436 1.6418 1.1609
8.5308 4.9253 3.4827
```

(2)
La5HoPb6: relaxed, PBE.

Space-group type = P2/m
Formation energy = -0.555 eV/atom
Total magnetization = 0.14 μB/f.u.
E = -58.1 eV for the cell shown
Volume = 30.9 Å³ per atom

The structure in POSCAR format:
```
La5HoPb6
1.0
-4.4311 -0.4914 -2.5746
4.3274 -5.0376 -6.4862
-3.7353 -6.7228 2.7291
Pb Ho La
6 1 5
Cartesian
-1.6683 -6.4083 -6.1508
-3.8649 -3.8513 -2.8584
-1.1473 -1.4893 -2.8885
-2.6916 -10.7625 -3.4432
0.0260 -8.4005 -3.4733
-2.1706 -5.8435 -0.1809
0.0000 0.0000 0.0000
-3.2767 -7.3167 -3.1465
-2.7170 -2.3758 0.0324
2.1637 -2.5188 -3.2431
-5.4493 -4.8384 0.1221
-0.5622 -4.9351 -3.1852
```

(3)
La2HoPb3: relaxed, PBE.

Space-group type = Cmmm
Formation energy = -0.500 eV/atom
Total magnetization = 0.23 μB/f.u.
E = -57.1 eV for the cell shown
Volume = 30.8 Å³ per atom

The structure in POSCAR format:
```
La2HoPb3
1.0
-3.6364 -1.6659 4.3530
-7.7100 -3.5831 -3.7979
2.9770 -6.4337 0.0257
La Ho Pb
4 2 6
Cartesian
0.0000 0.0000 0.0000
1.4885 -3.2168 0.0129
-2.2607 -4.9511 0.2313
-6.1087 -6.7315 0.3495
-3.7704 -1.7442 0.1969
-7.5760 -3.5048 0.3581
-3.3653 -7.5478 2.3289
-1.1171 -2.3480 2.1824
-5.0041 -4.1348 -1.7481
-4.9614 -4.0991 2.3154
-3.4080 -7.5835 -1.7346
0.4577 -5.7516 2.1962
```

(4)
La2HoPb: relaxed, PBE.

Space-group type = Imma
Formation energy = -0.327 eV/atom
Total magnetization = 0.02 μB/f.u.
E = -38.9 eV for the cell shown
Volume = 32.4 Å³ per atom

The structure in POSCAR format:
```
La2HoPb
1.0
6.0382 0.0000 3.3236
2.6091 6.0783 2.4067
0.0648 -0.3620 7.0292
La Ho Pb
4 2 2
Cartesian
2.0447 1.5296 7.0055
3.6483 4.1867 4.0922
6.6674 4.1867 5.7540
5.0638 1.5296 8.6673
5.0299 1.0057 5.1556
3.6822 4.7106 7.6040
2.0526 1.1115 3.4178
6.6595 4.6047 9.3417
```

(5)
La5HoPb3: relaxed, PBE.

Space-group type = P6_3/mcm
Formation energy = -0.443 eV/atom
Total magnetization = 3.76 μB/f.u.
E = -88.6 eV for the cell shown
Volume = 32.6 Å³ per atom

The structure in POSCAR format:
```
La5HoPb3
1.0
-1.6712 4.9228 -4.5521
-9.3653 -3.2285 -0.0531
2.8079 6.9465 6.4814
La Ho Pb
10 2 6
Cartesian
-5.3076 0.1632 2.1251
-2.0854 6.0163 2.0272
-1.2499 3.5549 4.3032
-6.1432 2.6246 -0.1510
-5.6481 6.1840 0.8941
-9.6926 2.7546 -1.3296
-4.3420 2.6274 -3.4316
-2.5805 2.4569 0.9820
1.4640 5.8862 3.2058
-6.6945 -0.9330 -1.1736
0.0000 0.0000 0.0000
-0.8356 2.4614 -2.2760
-3.4410 4.9324 -1.2696
0.6177 8.3212 0.9051
-7.4945 1.5406 -3.4495
-4.7876 3.7084 3.1458
-8.8464 0.3196 0.9711
-3.5420 0.1537 -1.1557
```

(6)
LaHo2Pb: relaxed, PBE.

Space-group type = R-3m
Formation energy = 0.049 eV/atom
Total magnetization = 0.00 μB/f.u.
E = -17.6 eV for the cell shown
Volume = 33.3 Å³ per atom

The structure in POSCAR format:
```
LaHo2Pb
1.0
3.5632 0.0000 0.0000
1.7816 3.0858 0.0000
1.7816 1.0286 12.1127
Pb Ho La
1 2 1
Cartesian
0.0000 0.0000 0.0000
1.7816 1.0286 8.9561
5.3447 3.0858 3.1566
3.5632 2.0572 6.0563
```

(7)
La14HoPb: relaxed, PBE.

Space-group type = P4/mmm
Formation energy = -0.077 eV/atom
Total magnetization = 0.00 μB/f.u.
E = -78.5 eV for the cell shown
Volume = 35.1 Å³ per atom

The structure in POSCAR format:
```
La14HoPb
1.0
0.2922 -6.6409 3.1089
3.2030 2.9133 5.9250
-9.3839 1.5948 4.2887
La Ho Pb
14 1 1
Cartesian
-2.5804 0.1282 7.0134
-4.0356 -4.6481 5.6055
2.2585 -3.9907 6.4256
-2.4355 -3.1915 8.5650
0.5091 -2.1250 1.9043
-4.1810 -1.3299 4.0534
-4.1161 -0.3812 10.3271
0.6724 -1.1950 8.1386
-5.8336 1.4505 5.8878
-1.0451 0.6367 3.6994
-4.2571 2.8827 8.7986
0.5269 2.0696 6.6122
-5.6928 -1.8134 7.4164
-0.8994 -2.6280 5.2256
0.6559 -5.4472 3.4607
2.1115 -0.6694 4.8689
```

(8)
La2HoPb: relaxed, PBE.

Space-group type = R-3m
Formation energy = 0.054 eV/atom
Total magnetization = 0.00 μB/f.u.
E = -17.9 eV for the cell shown
Volume = 35.5 Å³ per atom

The structure in POSCAR format:
```
La2HoPb
1.0
-0.1094 0.7371 -3.5537
-2.4557 -1.6331 -2.1181
-8.8883 8.9673 0.2787
Pb Ho La
1 1 2
Cartesian
0.0000 0.0000 0.0000
-5.7267 4.0357 -2.6966
-6.7417 6.4913 -0.3010
-4.7117 1.5800 -5.0921
```

(9)
La2HoPb: relaxed, PBE.

Space-group type = P4/mmm
Formation energy = -0.338 eV/atom
Total magnetization = 0.00 μB/f.u.
E = -19.5 eV for the cell shown
Volume = 31.3 Å³ per atom

The structure in POSCAR format:
```
La2HoPb
1.0
5.1231 0.0000 0.0000
0.0000 4.9415 0.0000
0.0000 0.0000 4.9415
Pb Ho La
1 1 2
Cartesian
2.5616 0.0000 0.0000
2.5616 2.4708 2.4708
0.0000 0.0000 2.4708
0.0000 2.4708 0.0000
```

(10)
LaHo2Pb: relaxed, PBE.

Space-group type = R3m
Formation energy = -0.134 eV/atom
Total magnetization = 0.00 μB/f.u.
E = -18.3 eV for the cell shown
Volume = 31.6 Å³ per atom

The structure in POSCAR format:
```
LaHo2Pb
1.0
3.6168 0.0005 -0.0013
1.8088 3.1320 -0.0013
1.8047 1.0419 11.1677
La Ho Pb
1 2 1
Cartesian
3.6144 2.0868 5.5866
1.8061 1.0428 8.5623
1.8080 1.0439 2.5965
3.6169 2.0882 0.0022
```

(11)
LaHo2Pb2: relaxed, PBE.

Space-group type = P2_1/m
Formation energy = -0.283 eV/atom
Total magnetization = 0.01 μB/f.u.
E = -45.8 eV for the cell shown
Volume = 31.9 Å³ per atom

The structure in POSCAR format:
```
LaHo2Pb2
1.0
-3.3486 -0.3342 2.3248
0.5760 -5.7738 -0.0003
7.4638 2.2289 11.0713
La Ho Pb
2 4 4
Cartesian
1.4868 -3.6125 3.4214
3.2043 -0.2666 9.9743
6.3021 -2.8448 10.4676
-1.6109 -1.0343 2.9281
3.2455 -0.3645 6.4215
1.4457 -3.5146 6.9743
4.5497 -3.0868 7.9088
0.1414 -0.7923 5.4869
6.3931 0.1424 11.0282
-1.7019 -4.0215 2.3675
```

(12)
La3HoPb2: relaxed, PBE.

Space-group type = Cmmm
Formation energy = -0.434 eV/atom
Total magnetization = 0.00 μB/f.u.
E = -58.8 eV for the cell shown
Volume = 32.2 Å³ per atom

The structure in POSCAR format:
```
La3HoPb2
1.0
-0.5992 -4.2241 -2.6588
0.2222 -4.9338 7.7881
-8.0751 5.3110 -1.8650
La Ho Pb
6 2 4
Cartesian
-0.2440 -3.3455 0.6176
-0.1329 -5.8124 4.5117
-5.6489 -0.4096 -2.8282
-2.9143 -0.9704 2.1985
-2.8032 -3.4373 6.0926
-5.5377 -2.8764 1.0658
0.1111 -2.4669 3.8941
0.0000 0.0000 0.0000
-5.8318 0.5170 0.4940
-2.7313 -1.8964 -1.1234
-5.7208 -1.9504 4.3877
-2.6202 -4.3638 2.7704
```

(13)
LaHo2Pb: relaxed, PBE.

Space-group type = P4/mmm
Formation energy = -0.290 eV/atom
Total magnetization = 0.05 μB/f.u.
E = -19.0 eV for the cell shown
Volume = 29.9 Å³ per atom

The structure in POSCAR format:
```
LaHo2Pb
1.0
4.8339 0.0000 0.0000
0.0000 4.9720 0.0000
0.0000 0.0000 4.9720
Pb Ho La
1 2 1
Cartesian
2.4169 0.0000 0.0000
0.0000 0.0000 2.4860
0.0000 2.4860 0.0000
2.4169 2.4860 2.4860
```

(14)
LaHo2Pb: relaxed, PBE.

Space-group type = P2_1/m
Formation energy = -0.333 eV/atom
Total magnetization = 0.26 μB/f.u.
E = -38.2 eV for the cell shown
Volume = 32.6 Å³ per atom

The structure in POSCAR format:
```
LaHo2Pb
1.0
4.8178 0.0000 0.0000
0.0000 4.6656 -0.9256
0.0000 -0.1089 11.6116
La Ho Pb
2 4 2
Cartesian
1.2044 1.3768 6.8804
3.6133 3.1799 3.8056
3.6133 1.9820 9.9347
1.2044 2.5747 0.7514
1.2044 4.2864 9.3255
3.6133 0.2704 1.3605
3.6133 3.8457 7.0952
1.2044 0.7110 3.5909
```

(15)
LaHo4Pb4: relaxed, PBE.

Space-group type = P4_2/nmc
Formation energy = -0.289 eV/atom
Total magnetization = 0.00 μB/f.u.
E = -81.3 eV for the cell shown
Volume = 33.3 Å³ per atom

The structure in POSCAR format:
```
LaHo4Pb4
1.0
-0.8177 6.3544 -6.7977
-6.3500 3.1687 3.7260
4.8406 4.9472 4.0423
La Ho Pb
2 8 8
Cartesian
0.0000 0.0000 0.0000
-1.1636 7.2352 0.4853
3.3118 6.0645 0.4870
-3.0731 10.4035 -1.1054
-5.4307 6.7877 2.2146
0.3647 6.1182 4.0394
-0.4169 11.3010 2.5617
-2.0825 3.6175 1.9961
0.1367 8.8015 -2.9891
-2.1185 4.7876 -3.3222
-2.7637 7.7423 -2.6728
-0.0507 10.5148 -0.4075
0.0251 9.1209 4.7005
2.9109 8.0240 -1.8630
-5.5687 9.0161 0.0844
0.8594 4.4539 1.4666
-2.6992 6.2298 3.5548
-2.0216 2.7797 -0.9810
```

(16)
LaHo2Pb: relaxed, PBE.

Space-group type = P4/mmm
Formation energy = -0.192 eV/atom
Total magnetization = 0.00 μB/f.u.
E = -18.6 eV for the cell shown
Volume = 31.1 Å³ per atom

The structure in POSCAR format:
```
LaHo2Pb
1.0
-1.6298 3.1611 -1.4170
1.1350 -0.9923 -3.5191
-7.2617 -4.2559 -1.1420
Pb Ho La
1 2 1
Cartesian
-0.2474 1.0844 -2.4681
-5.6739 -3.3253 -0.8923
-1.5878 -0.9306 -0.2497
-3.8783 -1.0435 -3.0391
```

(17)
La3HoPb2: relaxed, PBE.

Space-group type = P-4m2
Formation energy = -0.453 eV/atom
Total magnetization = 0.01 μB/f.u.
E = -29.5 eV for the cell shown
Volume = 33.9 Å³ per atom

The structure in POSCAR format:
```
La3HoPb2
1.0
4.7675 0.0000 0.0000
0.0000 4.7675 0.0000
0.0000 0.0000 8.9450
La Ho Pb
3 1 2
Cartesian
2.3837 0.0000 3.1027
0.0000 2.3837 5.8423
0.0000 0.0000 0.0000
2.3837 2.3837 0.0000
2.3837 0.0000 6.4671
0.0000 2.3837 2.4779
```

(18)
La2HoPb: relaxed, PBE.

Space-group type = R3m
Formation energy = -0.147 eV/atom
Total magnetization = 0.39 μB/f.u.
E = -18.7 eV for the cell shown
Volume = 33.7 Å³ per atom

The structure in POSCAR format:
```
La2HoPb
1.0
-0.0936 2.4926 2.7243
-1.5254 -0.8716 3.2492
9.5824 -3.1822 5.7447
La Ho Pb
2 1 1
Cartesian
7.0969 -2.2681 4.8230
1.9479 -0.3745 2.9136
3.9728 -0.7773 5.8558
-1.0724 1.0781 3.9849
```

(19)
La3HoPb4: relaxed, PBE.

Space-group type = C2/m
Formation energy = -0.515 eV/atom
Total magnetization = 1.26 μB/f.u.
E = -38.3 eV for the cell shown
Volume = 31.1 Å³ per atom

The structure in POSCAR format:
```
La3HoPb4
1.0
5.7421 0.0000 -1.5500
-0.4128 5.7344 -1.5293
-0.8941 -1.0259 8.0988
Pb Ho La
4 1 3
Cartesian
1.3475 1.4003 4.9919
3.0877 3.3082 0.0277
0.4229 0.4438 1.5667
4.0123 4.2647 3.4528
2.8711 0.0000 -0.7750
-0.2064 2.8672 -0.7646
3.7401 0.9014 2.4445
0.6951 3.8071 2.5751
```

(20)
LaHo4PbS8: relaxed, PBE.

Space-group type = R3m
Total magnetization = 0.00 μB/f.u.
E = -84.8 eV for the cell shown
Volume = 27.8 Å³ per atom

The structure in POSCAR format:
```
LaHo4PbS8
1.0
-3.0580 5.9667 -4.5107
1.1228 -0.0022 -8.0025
-6.4556 -1.6054 -4.9854
La Ho Pb S
1 4 1 8
Cartesian
-6.4161 -1.5809 -4.9798
-1.9930 3.5416 -8.4406
-2.6916 -0.7984 -6.4696
-4.7535 2.1454 -4.7476
-3.2454 -0.7973 -2.5230
-6.4327 0.7959 -9.0628
-4.5261 0.3093 -10.9991
-6.7845 3.5335 -9.1129
-5.1326 0.3105 -6.6764
-2.3815 0.9143 -4.4144
-3.7653 4.0481 -6.5691
-1.5926 0.9461 -8.3837
-3.1818 4.0470 -10.7279
-6.1640 3.3492 -13.1058
```

(21)
La3HoPb2S: relaxed, PBE.

Space-group type = Immm
Total magnetization = 0.00 μB/f.u.
E = -37.1 eV for the cell shown
Volume = 33.4 Å³ per atom

The structure in POSCAR format:
```
La3HoPb2S
1.0
5.1441 0.0000 0.0000
0.0000 5.3460 0.0000
-2.5720 -2.6730 8.5084
La Ho Pb S
3 1 2 1
Cartesian
0.0000 2.6730 0.0000
0.0000 0.0000 2.8805
2.5720 2.6730 5.6279
2.5720 0.0000 0.0000
2.5720 2.6730 2.2908
0.0000 0.0000 6.2176
0.0000 0.0000 0.0000
```

(22)
LaSmHoPb: relaxed, PBE.

Space-group type = F-43m
Formation energy = -0.159 eV/atom
Total magnetization = 0.00 μB/f.u.
E = -18.6 eV for the cell shown
Volume = 31.3 Å³ per atom

The structure in POSCAR format:
```
LaSmHoPb
1.0
-3.1791 -3.2973 -3.2469
2.4081 -3.8458 -3.3064
-0.5231 -5.4592 1.2021
Pb Ho Sm La
1 1 1 1
Cartesian
-0.3235 -3.1506 -1.3378
-0.9706 -9.4517 -4.0134
0.0000 0.0000 0.0000
-0.6470 -6.3011 -2.6756
```

(23)
LaHoSnPb: relaxed, PBE.

Space-group type = F-43m
Formation energy = -0.507 eV/atom
Total magnetization = 0.00 μB/f.u.
E = -19.2 eV for the cell shown
Volume = 29.6 Å³ per atom

The structure in POSCAR format:
```
LaHoSnPb
1.0
5.5142 0.0000 0.0000
2.7571 4.7755 0.0000
2.7571 1.5918 4.5023
Pb Ho Sn La
1 1 1 1
Cartesian
8.2713 4.7755 3.3768
5.5142 3.1836 2.2512
2.7571 1.5918 1.1256
0.0000 0.0000 0.0000
```

(24)
LaHoTePb: relaxed, PBE.

Space-group type = R3m
Total magnetization = 0.00 μB/f.u.
E = -20.4 eV for the cell shown
Volume = 32.8 Å³ per atom

The structure in POSCAR format:
```
LaHoTePb
1.0
4.5392 0.0000 0.0000
2.2696 3.9311 0.0000
2.2696 1.3104 7.3588
La Ho Te Pb
1 1 1 1
Cartesian
6.8089 3.9311 1.1696
4.5392 2.6207 4.9739
2.2696 1.3104 3.1840
6.8089 3.9311 6.6465
```